1.
Sm2MgPa2Ru5 | PBE | optimized geometry

Cell: 3.3340 11.0607 11.0607 Å, 90.00 90.00 90.00°
Positions (direct):
Sm (0.0000, 0.6601, 0.1601)
Sm (0.0000, 0.3399, 0.8399)
Sm (0.0000, 0.1601, 0.3399)
Sm (0.0000, 0.8399, 0.6601)
Mg (0.0000, 0.0000, 0.0000)
Mg (0.0000, 0.5000, 0.5000)
Pa (0.0000, 0.1526, 0.6526)
Pa (0.0000, 0.8474, 0.3474)
Pa (0.0000, 0.6526, 0.8474)
Pa (0.0000, 0.3474, 0.1526)
Ru (0.5000, 0.2101, 0.0461)
Ru (0.5000, 0.7899, 0.9539)
Ru (0.5000, 0.0461, 0.7899)
Ru (0.5000, 0.7101, 0.4539)
Ru (0.5000, 0.9539, 0.2101)
Ru (0.5000, 0.2899, 0.5461)
Ru (0.5000, 0.5461, 0.7101)
Ru (0.5000, 0.4539, 0.2899)
Ru (0.5000, 0.5000, 0.0000)
Ru (0.5000, 0.0000, 0.5000)

Summary:
* total magnetic moment: 0.000 μB/cell
* final energy: -7.8242 eV per atom
* ΔE_f: -184 meV per atom

2.
MgPaSnRu | PBE | optimized geometry

Cell: 4.8426 4.8426 4.8426 Å, 60.00 60.00 60.00°
Positions (direct):
Ru (0.7500, 0.7500, 0.7500)
Mg (0.2500, 0.2500, 0.2500)
Pa (0.0000, 0.0000, 0.0000)
Sn (0.5000, 0.5000, 0.5000)

Summary:
* total magnetic moment: 0.002 μB/cell
* final energy: -6.2337 eV per atom
* ΔE_f: -141 meV per atom

3.
TmMgPa2Ru4 | PBE | optimized geometry

Cell: 4.5440 4.5440 8.9123 Å, 75.23 75.23 60.00°
Positions (direct):
Tm (0.0000, 0.0000, 0.0000)
Mg (0.5000, 0.5000, 0.5000)
Pa (0.7551, 0.7551, 0.7346)
Pa (0.2449, 0.2449, 0.2654)
Ru (0.3918, 0.3918, 0.8246)
Ru (0.8795, 0.8795, 0.3616)
Ru (0.1205, 0.1205, 0.6384)
Ru (0.6082, 0.6082, 0.1754)

Summary:
* total magnetic moment: 0.000 μB/cell
* final energy: -8.2255 eV per atom
* ΔE_f: -455 meV per atom

4.
Mg5Pa3S12 | PBE | optimized geometry

Cell: 13.1910 13.1910 13.1910 Å, 109.47 109.47 109.47°
Last column: magnetic moment on the atom in μB.
Positions (direct):
Pa (0.7500, 0.3750, 0.1250)  0.44
Pa (0.8750, 0.7500, 0.1250)  0.44
Pa (0.3750, 0.7500, 0.6250)  0.44
Pa (0.2500, 0.1250, 0.3750)  0.44
Pa (0.8750, 0.1250, 0.2500)  0.44
Pa (0.3750, 0.6250, 0.2500)  0.44
Pa (0.6250, 0.3750, 0.7500)  0.44
Pa (0.1250, 0.8750, 0.7500)  0.44
Pa (0.7500, 0.8750, 0.6250)  0.44
Pa (0.6250, 0.2500, 0.3750)  0.44
Pa (0.1250, 0.2500, 0.8750)  0.44
Pa (0.2500, 0.6250, 0.8750)  0.44
Mg (0.1250, 0.3750, 0.2500)  0.00
Mg (0.0000, 0.5000, 0.0000)  0.00
Mg (0.0000, 0.0000, 0.0000)  0.00
Mg (0.3750, 0.2500, 0.1250)  0.00
Mg (0.5000, 0.0000, 0.5000)  0.00
Mg (0.5000, 0.5000, 0.0000)  0.00
Mg (0.1250, 0.7500, 0.3750)  0.00
Mg (0.7500, 0.1250, 0.8750)  0.00
Mg (0.7500, 0.6250, 0.3750)  0.00
Mg (0.3750, 0.1250, 0.7500)  0.00
Mg (0.6250, 0.8750, 0.2500)  0.00
Mg (0.5000, 0.5000, 0.5000)  0.00
Mg (0.5000, 0.0000, 0.0000)  0.00
Mg (0.0000, 0.0000, 0.5000)  0.00
Mg (0.2500, 0.3750, 0.6250)  0.00
Mg (0.2500, 0.8750, 0.1250)  0.00
Mg (0.0000, 0.5000, 0.5000)  0.00
Mg (0.8750, 0.2500, 0.6250)  0.00
Mg (0.6250, 0.7500, 0.8750)  0.00
Mg (0.8750, 0.6250, 0.7500)  0.00
S (0.7201, 0.1308, 0.0452)  -0.01
S (0.3252, 0.5452, 0.4144)  -0.01
S (0.9548, 0.3692, 0.2799)  -0.01
S (0.5452, 0.2201, 0.1308)  -0.01
S (0.5892, 0.7201, 0.6748)  -0.01
S (0.9548, 0.5856, 0.1748)  -0.01
S (0.3252, 0.7799, 0.4108)  -0.01
S (0.0856, 0.9108, 0.1308)  -0.01
S (0.5856, 0.9548, 0.6748)  -0.01
S (0.7201, 0.5892, 0.1748)  -0.01
S (0.7799, 0.4548, 0.3692)  -0.01
S (0.8252, 0.9144, 0.0452)  -0.01
S (0.1308, 0.7201, 0.5452)  -0.01
S (0.3692, 0.4144, 0.0892)  -0.01
S (0.0892, 0.9144, 0.3692)  -0.01
S (0.4108, 0.1308, 0.5856)  -0.01
S (0.0892, 0.1748, 0.2201)  -0.01
S (0.4548, 0.6748, 0.0856)  -0.01
S (0.8252, 0.9108, 0.2799)  -0.01
S (0.1308, 0.4108, 0.0856)  -0.01
S (0.3692, 0.9548, 0.7799)  -0.01
S (0.5856, 0.6308, 0.4108)  -0.01
S (0.9144, 0.8252, 0.5452)  -0.01
S (0.7799, 0.3252, 0.9108)  -0.01
S (0.4144, 0.3692, 0.5892)  -0.01
S (0.0856, 0.1748, 0.4548)  -0.01
S (0.2201, 0.6748, 0.0892)  -0.01
S (0.1748, 0.0892, 0.7201)  -0.01
S (0.6308, 0.0452, 0.2201)  -0.01
S (0.8692, 0.5892, 0.9144)  -0.01
S (0.5452, 0.3252, 0.9144)  -0.01
S (0.5892, 0.8692, 0.4144)  -0.01
S (0.9108, 0.8252, 0.7799)  -0.01
S (0.9108, 0.0856, 0.6308)  -0.01
S (0.8692, 0.2799, 0.4548)  -0.01
S (0.1748, 0.0856, 0.9548)  -0.01
S (0.6308, 0.5856, 0.9108)  -0.01
S (0.4144, 0.0452, 0.3252)  -0.01
S (0.2799, 0.4108, 0.8252)  -0.01
S (0.2201, 0.5452, 0.6308)  -0.01
S (0.9144, 0.0892, 0.8692)  -0.01
S (0.6748, 0.2201, 0.5892)  -0.01
S (0.4548, 0.7799, 0.8692)  -0.01
S (0.0452, 0.4144, 0.8252)  -0.01
S (0.4108, 0.2799, 0.3252)  -0.01
S (0.0452, 0.6308, 0.7201)  -0.01
S (0.6748, 0.4548, 0.5856)  -0.01
S (0.2799, 0.8692, 0.9548)  -0.01

Summary:
* total magnetic moment: 4.620 μB/cell
* final energy: -5.7035 eV per atom
* E_form (uncorrected): -1.4040 eV/atom

5.
MgPaS3 | PBE | optimized geometry

Cell: 5.4555 5.5092 10.0292 Å, 56.68 73.80 90.01°
Positions (direct):
Mg (0.1067, 0.1639, 0.5806)
Mg (0.9930, 0.3606, 0.8833)
Pa (0.8046, 0.5188, 0.2260)
Pa (0.2996, 0.0075, 0.2374)
S (0.2956, 0.5013, 0.2436)
S (0.1320, 0.6779, 0.5669)
S (0.6412, 0.2020, 0.5429)
S (0.4625, 0.3244, 0.9205)
S (0.8086, 0.0250, 0.2199)
S (0.9721, 0.8483, 0.8965)

Summary:
* total magnetic moment: 0.000 μB/cell
* final energy: -6.0520 eV per atom
* E_form (uncorrected): -1.3574 eV/atom
* energy above the most stable polymorph in this dataset: 3.9 kJ per mole of atoms

6.
Mg3Pa6S14 | PBE | optimized geometry

Cell: 5.8812 9.8235 9.8235 Å, 120.00 90.00 90.00°
Last column: magnetic moment on the atom in μB.
Positions (direct):
Mg (0.8218, 0.0000, 0.0000)  0.00
Mg (0.3296, 0.3333, 0.6667)  0.00
Mg (0.4760, 0.6667, 0.3333)  0.01
Pa (0.2435, 0.8033, 0.1012)  1.19
Pa (0.2435, 0.8988, 0.7021)  1.19
Pa (0.2435, 0.2979, 0.1967)  1.19
Pa (0.7529, 0.5278, 0.5626)  1.18
Pa (0.7529, 0.4374, 0.9652)  1.18
Pa (0.7529, 0.0348, 0.4722)  1.18
S (0.0015, 0.0936, 0.2540)  -0.03
S (0.0015, 0.7460, 0.8397)  -0.03
S (0.0015, 0.1603, 0.9064)  -0.03
S (0.5062, 0.2378, 0.4126)  -0.03
S (0.5062, 0.5874, 0.8251)  -0.03
S (0.5062, 0.1749, 0.7622)  -0.03
S (0.4270, 0.0000, 0.0000)  -0.03
S (0.9346, 0.3333, 0.6667)  -0.03
S (0.7156, 0.7662, 0.1824)  -0.04
S (0.7156, 0.8176, 0.5838)  -0.04
S (0.7156, 0.4162, 0.2338)  -0.04
S (0.2316, 0.5704, 0.4865)  -0.04
S (0.2316, 0.5135, 0.0839)  -0.04
S (0.2316, 0.9161, 0.4296)  -0.04

Summary:
* total magnetic moment: 7.903 μB/cell
* final energy: -6.6685 eV per atom
* E_form (uncorrected): -1.4709 eV/atom

7.
MgPaS2 | PBE | optimized geometry

Cell: 3.8042 3.8042 8.6962 Å, 77.37 77.37 60.00°
Last column: magnetic moment on the atom in μB.
Positions (direct):
S (0.1014, 0.1014, 0.6959)  -0.03
S (0.8986, 0.8986, 0.3041)  -0.03
Pa (0.5000, 0.5000, 0.5000)  1.00
Mg (0.0000, 0.0000, 0.0000)  0.00

Summary:
* total magnetic moment: 1.192 μB/cell
* final energy: -5.8912 eV per atom
* E_form (uncorrected): -1.0548 eV/atom

8.
MgPa2S5 | PBE | optimized geometry

Cell: 7.4552 7.6059 11.3842 Å, 90.00 90.00 90.00°
Last column: magnetic moment on the atom in μB.
Positions (direct):
Mg (0.5002, 0.2500, 0.5000)  0.00
Mg (0.4998, 0.7500, 0.5000)  0.00
Mg (0.0002, 0.7500, 0.0000)  0.00
Mg (0.9998, 0.2500, 0.0000)  0.00
Pa (0.4823, 0.5000, 0.8219)  0.49
Pa (0.5177, 0.5000, 0.1781)  0.49
Pa (0.9823, 0.5000, 0.6781)  0.49
Pa (0.5177, 0.0000, 0.1781)  0.49
Pa (0.0177, 0.5000, 0.3219)  0.49
Pa (0.4823, 0.0000, 0.8219)  0.49
Pa (0.0177, 0.0000, 0.3219)  0.49
Pa (0.9823, 0.0000, 0.6781)  0.49
S (0.0000, 0.2500, 0.5000)  -0.02
S (0.0000, 0.7500, 0.5000)  -0.02
S (0.5000, 0.7500, 0.0000)  -0.02
S (0.5000, 0.2500, 0.0000)  -0.02
S (0.3341, 0.0001, 0.5983)  -0.01
S (0.6659, 0.9999, 0.4017)  -0.01
S (0.8341, 0.9999, 0.9017)  -0.01
S (0.6659, 0.5001, 0.4017)  -0.01
S (0.1659, 0.0001, 0.0983)  -0.01
S (0.3341, 0.4999, 0.5983)  -0.01
S (0.1659, 0.4999, 0.0983)  -0.01
S (0.8341, 0.5001, 0.9017)  -0.01
S (0.1870, 0.2500, 0.8052)  -0.02
S (0.8130, 0.7500, 0.1948)  -0.02
S (0.6870, 0.7500, 0.6948)  -0.02
S (0.3130, 0.2500, 0.3052)  -0.02
S (0.6871, 0.2500, 0.6948)  -0.02
S (0.3129, 0.7500, 0.3052)  -0.02
S (0.1871, 0.7500, 0.8052)  -0.02
S (0.8129, 0.2500, 0.1948)  -0.02

Summary:
* total magnetic moment: 4.197 μB/cell
* final energy: -6.6982 eV per atom
* E_form (uncorrected): -1.5453 eV/atom

9.
MgPaS3 | PBE | optimized geometry

Cell: 6.7686 6.6550 6.6550 Å, 120.00 90.00 90.00°
Last column: magnetic moment on the atom in μB.
Positions (direct):
Mg (0.0000, 0.0000, 0.0000)  0.00
Mg (0.5000, 0.0000, 0.0000)  0.00
Pa (0.5000, 0.6667, 0.3333)  0.91
Pa (0.0000, 0.6667, 0.3333)  0.91
S (0.7500, 0.3243, 0.2827)  -0.02
S (0.7500, 0.9583, 0.6757)  -0.02
S (0.7500, 0.7173, 0.0417)  -0.02
S (0.2500, 0.7173, 0.6757)  -0.02
S (0.2500, 0.3243, 0.0417)  -0.02
S (0.2500, 0.9583, 0.2827)  -0.02

Summary:
* total magnetic moment: 2.038 μB/cell
* final energy: -6.0928 eV per atom
* E_form (uncorrected): -1.3982 eV/atom
* energy above the most stable polymorph in this dataset: 0.0 kJ per mole of atoms

10.
MgPa3S6 | PBE | optimized geometry

Cell: 6.5894 8.3931 8.3931 Å, 100.76 90.00 90.00°
Last column: magnetic moment on the atom in μB.
Positions (direct):
Mg (0.0057, 0.1900, 0.8100)  0.01
Mg (0.5057, 0.8100, 0.1900)  0.01
Pa (0.4852, 0.9193, 0.7278)  1.01
Pa (0.9852, 0.7278, 0.9193)  1.01
Pa (0.3829, 0.4033, 0.5967)  1.13
Pa (0.8829, 0.5967, 0.4033)  1.13
Pa (0.9852, 0.0807, 0.2722)  1.01
Pa (0.4852, 0.2722, 0.0807)  1.01
S (0.1830, 0.7015, 0.6242)  -0.04
S (0.6830, 0.6242, 0.7015)  -0.04
S (0.2061, 0.4407, 0.9031)  -0.03
S (0.7061, 0.9031, 0.4407)  -0.03
S (0.2028, 0.0236, 0.9764)  -0.03
S (0.6454, 0.2295, 0.7705)  -0.03
S (0.1454, 0.7705, 0.2295)  -0.03
S (0.7028, 0.9764, 0.0236)  -0.03
S (0.2061, 0.0969, 0.5593)  -0.03
S (0.7061, 0.5593, 0.0969)  -0.03
S (0.1830, 0.3758, 0.2985)  -0.04
S (0.6830, 0.2985, 0.3758)  -0.04

Summary:
* total magnetic moment: 7.649 μB/cell
* final energy: -6.9985 eV per atom
* E_form (uncorrected): -1.5138 eV/atom

11.
Mg2ScPaS6 | PBE | optimized geometry

Cell: 6.5525 6.5526 7.0752 Å, 62.41 62.41 60.00°
Positions (direct):
Mg (0.5133, 0.5133, 0.4600)
Mg (0.0149, 0.0150, 0.9549)
Sc (0.3215, 0.3215, 0.0357)
Pa (0.8226, 0.8225, 0.5325)
S (0.6012, 0.2269, 0.2521)
S (0.2270, 0.9198, 0.2520)
S (0.9198, 0.6012, 0.2521)
S (0.4133, 0.7211, 0.7586)
S (0.7210, 0.1069, 0.7586)
S (0.1069, 0.4134, 0.7587)

Summary:
* total magnetic moment: 0.000 μB/cell
* final energy: -5.9207 eV per atom
* E_form (uncorrected): -1.5425 eV/atom

12.
Sr2MgPaS6 | PBE | optimized geometry

Cell: 7.0036 7.3684 9.7217 Å, 90.00 93.48 90.00°
Positions (direct):
Sr (0.0291, 0.9206, 0.2401)
Sr (0.5291, 0.5794, 0.7401)
Sr (0.9709, 0.0794, 0.7599)
Sr (0.4709, 0.4206, 0.2599)
Mg (0.5000, 0.0000, 0.5000)
Mg (0.0000, 0.5000, 0.0000)
Pa (0.5000, 0.0000, 0.0000)
Pa (0.0000, 0.5000, 0.5000)
S (0.3054, 0.7036, 0.0563)
S (0.8054, 0.7964, 0.5563)
S (0.6946, 0.2964, 0.9437)
S (0.1946, 0.2036, 0.4437)
S (0.3007, 0.7003, 0.4482)
S (0.8007, 0.7997, 0.9482)
S (0.6993, 0.2997, 0.5518)
S (0.1993, 0.2003, 0.0518)
S (0.8843, 0.5281, 0.2415)
S (0.3843, 0.9719, 0.7415)
S (0.1157, 0.4719, 0.7585)
S (0.6157, 0.0281, 0.2585)

Summary:
* total magnetic moment: 0.005 μB/cell
* final energy: -5.5282 eV per atom
* E_form (uncorrected): -1.6063 eV/atom